Material: Pm3Pr6Sm2Er
Method: DFT, PBE
State: optimized geometry

Unit cell a=6.366 b=6.366 c=12.102 alpha=95.03 beta=95.03 gamma=120.01
Element x y z (fractional)
1 Pm 0.000 0.000 0.000
2 Pm 0.333 0.667 0.000
3 Pm 0.667 0.333 0.000
4 Pr 0.085 0.417 0.252
5 Pr 0.250 0.250 0.748
6 Pr 0.417 0.085 0.252
7 Pr 0.583 0.915 0.748
8 Pr 0.750 0.750 0.252
9 Pr 0.915 0.583 0.748
10 Sm 0.167 0.833 0.500
11 Sm 0.833 0.167 0.500
12 Er 0.500 0.500 0.500

Results
* E_form: 0.01 eV per atom



Material: AcNdTe2
Method: DFT, PBE
State: optimized geometry

Unit cell a=5.623 b=5.623 c=5.623 alpha=60.00 beta=60.00 gamma=60.00
Element x y z (fractional)
1 Ac 0.000 0.000 0.000
2 Nd 0.500 0.500 0.500
3 Te 0.250 0.250 0.250
4 Te 0.750 0.750 0.750

Results
* raw formation energy: -1.3514 eV per atom



Material: CeNpPd4
Method: DFT, PBE
State: optimized geometry

Unit cell a=5.462 b=5.462 c=5.462 alpha=60.00 beta=60.00 gamma=60.00
Element x y z (fractional)
1 Ce 0.000 0.000 0.000
2 Np 0.250 0.250 0.250
3 Pd 0.126 0.625 0.625
4 Pd 0.625 0.126 0.625
5 Pd 0.625 0.625 0.126
6 Pd 0.625 0.625 0.625

Results
* E_form: -0.51 eV per atom



Number 1: total energy -56.78 eV/cell. Number 2: total energy -20.57 eV/cell. Number 3: total energy -42.70 eV/cell.